A crystal of ScPt2W relaxed with PBEsol. Source: the Alexandria database, functional meta-GGA SCAN.

abc: 2.8535 2.8535 9.2198
angles: 81.10 81.10 60.00
Last column: nearest neighbours and their distance in Å.
Atoms (fractional coordinates):
Pt1 0.2508 0.2508 0.2475  3 W 2.78, 3 Sc 2.82, 6 Pt 2.85
Pt2 0.7492 0.7492 0.7525  3 W 2.78, 3 Sc 2.82, 6 Pt 2.85
W1 0.0000 0.0000 0.0000  6 Pt 2.78, 6 W 2.85
Sc1 0.5000 0.5000 0.5000  6 Pt 2.82, 6 Sc 2.85

volume: 16.0 Å³ per atom
spin magnetization: 0.000 μB per cell
final energy: -56.37 eV/atom